# PBE with a Hubbard U Rb3Ho3MoO8, relaxed
# Energy (eV per atom): -6.774
# DOS at the Fermi energy (states/eV/cell): 0.0
# Crystal system: monoclinic
# Volume (Å³/atom): 17.7
# Total moment (μB/f.u.): 2.0
data_Rb3Ho3MoO8
_cell_length_a 11.8655
_cell_length_b 6.7830
_cell_length_c 7.6852
_cell_angle_alpha 90.00
_cell_angle_beta 120.78
_cell_angle_gamma 90.00
_space_group_name_H-M_alt 'C 1 2/m 1'
_space_group_IT_number 12
loop_
_space_group_symop_operation_xyz
'x,y,z'
'-x,-y,-z'
'-x,y,-z'
'x,-y,z'
'x+1/2,y+1/2,z'
'-x+1/2,-y+1/2,-z'
'-x+1/2,y+1/2,-z'
'x+1/2,-y+1/2,z'
loop_
_atom_site_label
_atom_site_type_symbol
_atom_site_fract_x
_atom_site_fract_y
_atom_site_fract_z
Rb1 Rb 0.0000 0.0000 0.0000
Rb2 Rb 0.2500 0.2500 0.0000
Ho1 Ho 0.0000 0.5000 0.5000
Ho2 Ho 0.2500 0.2500 0.5000
Mo1 Mo 0.0000 0.0000 0.5000
O1 O 0.0229 0.2301 0.3371
O2 O 0.2147 0.0000 0.6660
O3 O 0.2221 0.5000 0.6705